(1)
Tl3BiCl6 | the Alexandria database | GGA-PBE | optimized geometry; total magnetization = 0.00 Bohr magnetons per cell; energy relative to the elements, uncorrected = -1.0335 eV/atom; theoretical density = 5.2 g/cm³
1.0
9.317 0.000 0.000
0.000 9.317 0.000
0.000 0.000 7.670
Tl Bi Cl
6 2 12
direct
0.000 0.000 0.000
0.000 0.000 0.500
0.227 0.494 0.000
0.494 0.773 0.500
0.506 0.227 0.500
0.773 0.506 0.000
0.000 0.500 0.500
0.500 0.000 0.000
0.007 0.704 0.244
0.007 0.704 0.756
0.293 0.493 0.500
0.296 0.007 0.256
0.296 0.007 0.744
0.493 0.707 0.000
0.507 0.293 0.000
0.704 0.993 0.256
0.704 0.993 0.744
0.707 0.507 0.500
0.993 0.296 0.244
0.993 0.296 0.756

(2)
TlBi3Cl | the Alexandria database | GGA-PBE | optimized geometry; total magnetization = 0.00 Bohr magnetons per cell; energy relative to the elements, uncorrected = 0.6501 eV/atom; theoretical density = 7.1 g/cm³
1.0
5.873 0.000 0.000
0.000 5.873 0.000
0.000 0.000 5.873
Tl Bi Cl
1 3 1
direct
0.000 0.000 0.000
0.000 0.000 0.500
0.000 0.500 0.000
0.500 0.000 0.000
0.500 0.500 0.500

(3)
Tl2BiCl2 | the Alexandria database | GGA-PBE | optimized geometry; total magnetization = 0.00 Bohr magnetons per cell; energy relative to the elements, uncorrected = -0.4317 eV/atom; theoretical density = 7.5 g/cm³
1.0
8.780 0.000 0.000
0.000 8.780 0.000
0.000 0.000 3.947
Tl Bi Cl
4 2 4
direct
0.155 0.345 0.000
0.345 0.845 0.000
0.655 0.155 0.000
0.845 0.655 0.000
0.000 0.000 0.500
0.500 0.500 0.500
0.152 0.652 0.500
0.348 0.152 0.500
0.652 0.848 0.500
0.848 0.348 0.500

(4)
TlBi2Cl8 | the Alexandria database | GGA-PBE | optimized geometry; total magnetization = 0.00 Bohr magnetons per cell; energy relative to the elements, uncorrected = -0.8545 eV/atom; theoretical density = 4.7 g/cm³
1.0
4.355 -6.853 0.000
4.355 6.853 0.000
-0.011 0.000 5.342
Tl Bi Cl
1 2 8
direct
0.000 0.000 0.000
0.297 0.703 0.500
0.703 0.297 0.500
0.054 0.323 0.501
0.250 0.750 0.000
0.323 0.054 0.501
0.500 0.500 0.246
0.500 0.500 0.754
0.677 0.946 0.499
0.750 0.250 0.000
0.946 0.677 0.499

(5)
TlBiCl6 | the Alexandria database | GGA-PBE | optimized geometry; total magnetization = 0.00 Bohr magnetons per cell; energy relative to the elements, uncorrected = -0.6379 eV/atom; theoretical density = 3.9 g/cm³
1.0
4.151 -5.182 0.000
4.151 5.182 0.000
-2.520 0.000 6.208
Tl Bi Cl
1 1 6
direct
0.000 0.000 0.000
0.500 0.500 0.500
0.210 0.551 0.211
0.211 0.211 0.545
0.449 0.790 0.789
0.551 0.210 0.211
0.789 0.789 0.455
0.790 0.449 0.789

(6)
Tl3BiCl | the Alexandria database | GGA-PBE | optimized geometry; total magnetization = 0.00 Bohr magnetons per cell; energy relative to the elements, uncorrected = -0.0609 eV/atom; theoretical density = 7.3 g/cm³
1.0
5.791 0.000 0.000
0.000 5.791 0.000
0.000 0.000 5.791
Tl Bi Cl
3 1 1
direct
0.000 0.000 0.500
0.000 0.500 0.000
0.500 0.000 0.000
0.500 0.500 0.500
0.000 0.000 0.000

(7)
TlBi2Cl7 | the Alexandria database | GGA-PBE | optimized geometry; total magnetization = 0.00 Bohr magnetons per cell; energy relative to the elements, uncorrected = -0.9567 eV/atom; theoretical density = 4.4 g/cm³
1.0
4.383 -6.901 0.000
4.383 6.901 0.000
0.000 0.000 5.412
Tl Bi Cl
1 2 7
direct
0.000 0.000 0.000
0.298 0.702 0.500
0.702 0.298 0.500
0.051 0.323 0.500
0.278 0.722 0.000
0.323 0.051 0.500
0.500 0.500 0.500
0.677 0.949 0.500
0.722 0.278 0.000
0.949 0.677 0.500

(8)
TlBi2Cl8 | the Alexandria database | GGA-PBE | optimized geometry; total magnetization = 0.00 Bohr magnetons per cell; energy relative to the elements, uncorrected = -0.8507 eV/atom; theoretical density = 4.3 g/cm³
1.0
5.561 -4.385 0.000
5.561 4.385 0.000
-1.385 0.000 7.125
Tl Bi Cl
1 2 8
direct
0.000 0.000 0.000
0.314 0.314 0.546
0.686 0.686 0.454
0.054 0.675 0.665
0.205 0.205 0.851
0.325 0.946 0.335
0.439 0.439 0.259
0.561 0.561 0.741
0.675 0.054 0.665
0.795 0.795 0.149
0.946 0.325 0.335

(9)
Tl5Bi3Cl12 | the Alexandria database | GGA-PBE | optimized geometry; total magnetization = 0.00 Bohr magnetons per cell; energy relative to the elements, uncorrected = -0.7852 eV/atom; theoretical density = 4.3 g/cm³
1.0
-9.305 9.305 9.305
9.305 -9.305 9.305
9.305 9.305 -9.305
Tl Bi Cl
20 12 48
direct
0.000 0.000 0.000
0.000 0.000 0.500
0.000 0.500 0.000
0.000 0.500 0.500
0.125 0.750 0.875
0.125 0.875 0.250
0.250 0.125 0.875
0.250 0.625 0.375
0.375 0.250 0.625
0.375 0.625 0.750
0.500 0.000 0.000
0.500 0.000 0.500
0.500 0.500 0.000
0.500 0.500 0.500
0.625 0.375 0.250
0.625 0.750 0.375
0.750 0.375 0.625
0.750 0.875 0.125
0.875 0.125 0.750
0.875 0.250 0.125
0.125 0.250 0.375
0.125 0.375 0.750
0.250 0.375 0.125
0.250 0.875 0.625
0.375 0.125 0.250
0.375 0.750 0.125
0.625 0.250 0.875
0.625 0.875 0.750
0.750 0.125 0.375
0.750 0.625 0.875
0.875 0.625 0.250
0.875 0.750 0.625
0.030 0.707 0.652
0.030 0.822 0.378
0.055 0.207 0.178
0.055 0.348 0.878
0.122 0.678 0.470
0.122 0.945 0.652
0.152 0.207 0.530
0.152 0.445 0.622
0.178 0.055 0.207
0.178 0.622 0.970
0.207 0.178 0.055
0.207 0.530 0.152
0.293 0.348 0.970
0.293 0.445 0.322
0.322 0.293 0.445
0.322 0.530 0.878
0.348 0.878 0.055
0.348 0.970 0.293
0.378 0.030 0.822
0.378 0.848 0.555
0.445 0.322 0.293
0.445 0.622 0.152
0.470 0.122 0.678
0.470 0.848 0.793
0.530 0.152 0.207
0.530 0.878 0.322
0.555 0.378 0.848
0.555 0.678 0.707
0.622 0.152 0.445
0.622 0.970 0.178
0.652 0.030 0.707
0.652 0.122 0.945
0.678 0.470 0.122
0.678 0.707 0.555
0.707 0.555 0.678
0.707 0.652 0.030
0.793 0.470 0.848
0.793 0.822 0.945
0.822 0.378 0.030
0.822 0.945 0.793
0.848 0.555 0.378
0.848 0.793 0.470
0.878 0.055 0.348
0.878 0.322 0.530
0.945 0.652 0.122
0.945 0.793 0.822
0.970 0.178 0.622
0.970 0.293 0.348

(10)
Tl5Bi2Cl12 | the Alexandria database | GGA-PBE | optimized geometry; total magnetization = 0.68 Bohr magnetons per cell; energy relative to the elements, uncorrected = -0.9416 eV/atom; theoretical density = 4.7 g/cm³
1.0
8.632 -4.100 0.000
8.632 4.100 0.000
-3.413 0.000 9.403
Tl Bi Cl
5 2 12
direct
0.000 0.000 0.000
0.280 0.280 0.119
0.312 0.312 0.693
0.688 0.688 0.307
0.720 0.720 0.881
0.252 0.748 0.500
0.748 0.252 0.500
0.001 0.001 0.687
0.101 0.569 0.411
0.107 0.636 0.944
0.364 0.893 0.056
0.431 0.899 0.589
0.495 0.495 0.307
0.505 0.505 0.693
0.569 0.101 0.411
0.636 0.107 0.944
0.893 0.364 0.056
0.899 0.431 0.589
0.999 0.999 0.313